Computed, not measured: an optimized crystal structure of ZnPb2Cl at the GGA-PBEsol level of DFT.

The structure belongs to space group P2/m (No. 10); the cell edges are 3.397, 5.024 and 5.884 Å and the angles 90.00°, 94.45° and 90.00°. The distinct sites, in fractional coordinates, are Zn at (0.000, 0.000, 0.000), Pb at (0.247, 0.500, 0.757) and Cl at (0.500, 0.000, 0.500).

The crystal system is monoclinic.

=====

Computed, not measured: an optimized crystal structure of Zn2PbCl at the GGA-PBEsol level of DFT.

The structure belongs to space group P2/m (No. 10); the cell edges are 3.282, 5.686 and 4.704 Å and the angles 90.00°, 92.70° and 90.00°. The distinct sites, in fractional coordinates, are Zn at (0.222, 0.000, 0.255), Pb at (0.000, 0.500, 0.500) and Cl at (0.500, 0.500, 0.000).

The crystal system is monoclinic.

=====

Computed, not measured: an optimized crystal structure of ZrPb2Cl at the GGA-PBEsol level of DFT.

The structure belongs to space group P4/mmm (No. 123); the cell edges are 5.486, 5.486 and 3.183 Å and the angles 90.00°, 90.00° and 90.00°. The distinct sites, in fractional coordinates, are Zr at (0.000, 0.000, 0.000), Pb at (0.000, 0.500, 0.500) and Cl at (0.500, 0.500, 0.000).

The crystal system is tetragonal.

=====

Computed, not measured: an optimized crystal structure of ZrPb2Cl at the GGA-PBEsol level of DFT.

The structure belongs to space group Cm (No. 8); the cell edges are 11.559, 3.271 and 5.629 Å and the angles 90.00°, 110.94° and 90.00°. The distinct sites, in fractional coordinates, are Zr at (0.000, 0.000, 0.000), Pb at (0.258, 0.000, 0.924), Pb at (0.420, 0.000, 0.513) and Cl at (0.135, 0.500, 0.332).

The crystal system is monoclinic.

=====

no.,E above lowest polymorph (meV per atom),formation energy (no corrections) (meV/atom),energy (eV per atom)
1,51,-101,-3.00
2,82,-1,-2.29
3,183,-276,-5.05
4,0,-459,-5.23